(1)
The following is a meta-GGA SCAN calculation of a crystal of ScNbCu2 relaxed with PBEsol, from the Alexandria database.

abc: 4.446 4.446 4.446
angles: 60.00 60.00 60.00
Sites, in units of the cell vectors:
Sc 0.000 0.000 0.000
Nb 0.500 0.500 0.500
Cu 0.250 0.250 0.250
Cu 0.750 0.750 0.750

SG: Fm-3m (225)
ΔH_f (0 K): -0.039 eV/atom


(2)
The following is a meta-GGA SCAN calculation of a crystal of TbSeClO3 relaxed with PBEsol, from the Alexandria database.

abc: 6.960 7.149 8.811
angles: 90.00 90.00 90.00
Sites, in units of the cell vectors:
Cl 0.750 0.554 0.679
Cl 0.250 0.946 0.179
Cl 0.250 0.446 0.321
Cl 0.750 0.054 0.821
O 0.750 0.749 0.320
O 0.250 0.751 0.820
O 0.250 0.251 0.680
O 0.750 0.249 0.180
O 0.928 0.644 0.066
O 0.072 0.856 0.566
O 0.428 0.356 0.934
O 0.572 0.144 0.434
O 0.072 0.356 0.934
O 0.928 0.144 0.434
O 0.572 0.644 0.066
O 0.428 0.856 0.566
Se 0.750 0.796 0.132
Se 0.250 0.704 0.632
Se 0.250 0.204 0.868
Se 0.750 0.296 0.368
Tb 0.750 0.896 0.540
Tb 0.250 0.604 0.040
Tb 0.250 0.104 0.460
Tb 0.750 0.396 0.960

SG: Pnma (62)
Formation energy (no corrections): -2.239 eV/atom